Entry from OQMD: a geometry-optimized ErTm2In3PdPt2 structure (PBE).

Calculated values
V: 192.9 Å³/cell
Raw total energy: -0.195 Ha/atom
Crystal system: orthorhombic
Space group: Amm2 (38)

abc: 3.7701 7.6886 7.6886
angles: 120.06 90.00 90.00
Element x y z (fractional)
Er (0.0000, 0.0000, 0.0000)
Tm (0.0000, 0.4088, 0.8175)
Tm (0.0000, 0.8175, 0.4088)
In (0.5000, 0.1482, 0.4091)
In (0.5000, 0.4091, 0.1482)
In (0.5000, 0.6692, 0.6692)
Pd (0.0000, 0.4092, 0.4092)
Pt (0.5000, 0.0757, 0.7414)
Pt (0.5000, 0.7414, 0.0757)


Entry from OQMD: a geometry-optimized HoPaPO structure (PBE).

Calculated values
Energy above the lowest structure with this stoichiometry: 36 meV per atom
V: 182.9 Å³/cell
Raw total energy: -0.274 Ha/atom
Crystal system: orthorhombic
Space group: Pmc2_1 (26)

abc: 4.1339 7.6914 5.7525
angles: 90.00 90.00 90.00
Element x y z (fractional)
Ho (0.0000, 0.1130, 0.0000)
Ho (0.0000, 0.8870, 0.5000)
Pa (0.5000, 0.3002, 0.4594)
Pa (0.5000, 0.6998, 0.9594)
P (0.5000, 0.3407, 0.9629)
P (0.5000, 0.6593, 0.4629)
O (0.0000, 0.1717, 0.3997)
O (0.0000, 0.8283, 0.8997)


Entry from OQMD: a geometry-optimized PuI4 structure (PBE).

Calculated values
V: 499.0 Å³/cell
Raw total energy: -0.182 Ha/atom
Crystal system: monoclinic
Space group: P2/c (13)

abc: 7.8394 8.8884 7.6564
angles: 90.00 110.73 90.00
Element x y z (fractional)
Pu (0.0000, 0.1363, 0.2500)
Pu (0.0000, 0.8637, 0.7500)
I (0.2310, 0.1146, 0.0025)
I (0.2310, 0.8854, 0.5025)
I (0.2477, 0.3622, 0.4731)
I (0.2477, 0.6378, 0.9731)
I (0.7523, 0.3622, 0.0269)
I (0.7523, 0.6378, 0.5269)
I (0.7690, 0.1146, 0.4975)
I (0.7690, 0.8854, 0.9975)


Number 1: total magnetic moment 0.02 μB per cell. Number 2: total magnetic moment 2.13 μB per cell. Number 3: total magnetic moment 7.99 μB per cell.